# 1
VASP calculation (GGA-PBE) on a relaxed structure of CaAl9Rh2.

Calculated values
Space-group type   I4_1/amd
Raw total energy   -113.0 eV for the cell shown
ρ   4.0 Mg/m³
Formation enthalpy at 0 K   -6.10 eV/f.u.

```
CaAl9Rh2
1.0
-5.420 5.420 3.438
5.420 -5.420 3.438
5.420 5.420 -3.438
Ca Al Rh
2 18 4
Cartesian
5.420 2.710 0.860
0.000 2.710 2.579
5.420 -2.710 2.579
4.100 -0.554 1.263
6.741 -0.554 1.263
2.157 1.390 0.456
8.684 1.390 0.456
4.100 4.867 -1.263
1.321 -0.554 2.175
2.157 4.031 0.456
3.264 -1.390 3.894
2.157 6.810 -0.456
3.264 1.390 2.982
4.100 5.974 1.263
1.321 0.554 4.701
-3.264 4.031 2.982
3.264 4.031 2.982
-1.321 5.974 2.175
1.321 5.974 2.175
0.000 8.131 0.860
0.000 0.000 0.000
2.710 2.710 -1.719
2.710 -2.710 1.719
0.000 5.420 0.000
```

---

# 2
VASP calculation (GGA-PBE) on a relaxed structure of ZrScZnMo.

Calculated values
Space-group type   F-43m
Raw total energy   -27.3 eV for the cell shown
ρ   6.7 Mg/m³
Formation enthalpy at 0 K   -0.35 eV/f.u.

```
ZrScZnMo
1.0
0.000 3.334 3.334
3.334 0.000 3.334
3.334 3.334 0.000
Zr Sc Zn Mo
1 1 1 1
Cartesian
0.000 0.000 0.000
3.334 3.334 3.334
1.667 1.667 1.667
5.001 5.001 5.001
```

---

# 3
VASP calculation (GGA-PBE) on a relaxed structure of InGaNi3.

Calculated values
Space-group type   Pm-3m
Raw total energy   -21.1 eV for the cell shown
ρ   7.3 Mg/m³
Formation enthalpy at 0 K   2.00 eV/f.u.

```
InGaNi3
1.0
4.346 0.000 0.000
0.000 4.346 0.000
0.000 0.000 4.346
In Ga Ni
1 1 3
Cartesian
0.000 0.000 0.000
2.173 2.173 2.173
0.000 2.173 2.173
2.173 0.000 2.173
2.173 2.173 0.000
```

---

# 4
VASP calculation (GGA-PBE) on a relaxed structure of Na2Sr8Al.

Calculated values
Space-group type   C2/m
Raw total energy   -19.7 eV for the cell shown
ρ   2.5 Mg/m³
Formation enthalpy at 0 K   0.09 eV/f.u.

```
Na2Sr8Al
1.0
10.479 -3.077 0.000
10.479 3.077 0.000
-0.865 0.000 7.951
Na Sr Al
2 8 1
Cartesian
3.227 0.000 1.354
16.865 0.000 6.597
-0.094 0.000 6.172
3.956 0.000 5.027
7.148 0.000 0.653
8.154 0.000 4.790
11.938 0.000 3.161
12.944 0.000 7.298
16.136 0.000 2.924
20.186 0.000 1.779
10.479 0.000 0.000
```

---

# 5
VASP calculation (GGA-PBE) on a relaxed structure of CaPr2Ga3.

Calculated values
Space-group type   P4/mmm
Raw total energy   -23.6 eV for the cell shown
ρ   5.8 Mg/m³
Formation enthalpy at 0 K   -2.99 eV/f.u.

```
CaPr2Ga3
1.0
3.662 0.000 0.000
0.000 3.662 0.000
0.000 0.000 11.410
Ca Pr Ga
1 2 3
Cartesian
0.000 0.000 0.000
0.000 0.000 3.750
0.000 0.000 7.661
1.831 1.831 1.808
1.831 1.831 5.705
1.831 1.831 9.603
```

---

# 6
VASP calculation (GGA-PBE) on a relaxed structure of CsTaTi2Mn.

Calculated values
Space-group type   P4/mmm
Raw total energy   -32.3 eV for the cell shown
ρ   7.0 Mg/m³
Formation enthalpy at 0 K   5.38 eV/f.u.

```
CsTaTi2Mn
1.0
4.846 0.000 0.000
0.000 4.846 0.000
0.000 0.000 4.723
Cs Ta Ti Mn
1 1 2 1
Cartesian
0.000 0.000 0.000
2.423 2.423 0.000
0.000 2.423 2.361
2.423 0.000 2.361
2.423 2.423 2.361
```

---

# 7
VASP calculation (GGA-PBE) on a relaxed structure of Sm4Y5Tl2.

Calculated values
Space-group type   C2/m
Raw total energy   -55.4 eV for the cell shown
ρ   6.8 Mg/m³
Formation enthalpy at 0 K   0.51 eV/f.u.

```
Sm4Y5Tl2
1.0
5.552 -1.801 0.000
5.552 1.801 0.000
-4.533 0.000 17.853
Sm Y Tl
4 5 2
Cartesian
-0.752 0.000 6.273
-0.671 0.000 13.337
7.242 0.000 4.516
7.322 0.000 11.580
-3.629 0.000 15.039
-0.735 0.000 9.810
5.552 0.000 0.000
7.306 0.000 8.042
10.199 0.000 2.814
2.257 0.000 1.491
4.313 0.000 16.362
```

---

# 8
VASP calculation (GGA-PBE) on a relaxed structure of NaPtPb3.

Calculated values
Space-group type   P2_1/m
Raw total energy   -38.9 eV for the cell shown
ρ   9.8 Mg/m³
Formation enthalpy at 0 K   -0.97 eV/f.u.

```
NaPtPb3
1.0
7.221 0.000 0.000
0.000 4.462 0.000
-2.069 0.000 8.840
Na Pt Pb
2 2 6
Cartesian
-0.051 1.115 3.195
5.202 3.346 5.646
1.604 3.346 7.914
3.548 1.115 0.926
-0.137 1.115 7.262
1.822 3.346 1.370
1.506 3.346 5.099
3.645 1.115 3.742
3.329 1.115 7.471
5.289 3.346 1.578
```